Here is Rb2CoWF6 after structural relaxation from the Alexandria database. Energies are from GGA+U.

**SG**: I4/mmm, No. 139
**Final energy**: -4.910 eV per atom
**Crystal system**: tetragonal

Lattice parameters (Å, degrees): 6.194 6.194 6.194 120.13 120.13 89.77
Fractional positions:
Rb: 0.250 0.750 0.500
Rb: 0.750 0.250 0.500
Co: 0.000 0.000 0.000
W: 0.500 0.500 0.000
F: 0.258 0.258 0.515
F: 0.258 0.742 0.000
F: 0.259 0.259 0.000
F: 0.741 0.741 0.000
F: 0.742 0.258 0.000
F: 0.742 0.742 0.485

Here is Rb2YCo3F12 after structural relaxation from the Alexandria database. Energies are from GGA+U.

**SG**: R-3m, No. 166
**Final energy**: -5.249 eV per atom
**Crystal system**: trigonal

Lattice parameters (Å, degrees): 7.579 7.579 7.579 59.33 59.33 59.33
Fractional positions:
Rb: 0.113 0.113 0.113
Rb: 0.887 0.887 0.887
Y: 0.500 0.500 0.500
Co: 0.000 0.500 0.500
Co: 0.500 0.000 0.500
Co: 0.500 0.500 0.000
F: 0.149 0.587 0.587
F: 0.190 0.190 0.580
F: 0.190 0.580 0.190
F: 0.413 0.413 0.851
F: 0.413 0.851 0.413
F: 0.420 0.810 0.810
F: 0.580 0.190 0.190
F: 0.587 0.149 0.587
F: 0.587 0.587 0.149
F: 0.810 0.420 0.810
F: 0.810 0.810 0.420
F: 0.851 0.413 0.413

Here is Rb2YCoF6 after structural relaxation from the Alexandria database. Energies are from GGA+U.

**SG**: I4/mmm, No. 139
**Final energy**: -5.340 eV per atom
**Crystal system**: tetragonal

Lattice parameters (Å, degrees): 6.968 6.968 6.968 129.30 129.30 74.53
Fractional positions:
Rb: 0.250 0.750 0.500
Rb: 0.750 0.250 0.500
Y: 0.000 0.000 0.000
Co: 0.500 0.500 0.000
F: 0.197 0.197 0.000
F: 0.259 0.259 0.518
F: 0.259 0.741 0.000
F: 0.741 0.259 0.000
F: 0.741 0.741 0.482
F: 0.803 0.803 0.000